Below is an optimized crystal structure of Lu3Pa, with properties calculated at the PBE level.

The structure in POSCAR format:
```
Lu3Pa
1.0
4.813 0.000 0.000
0.000 4.813 0.000
0.000 0.000 4.813
Lu Pa
3 1
Cartesian
0.000 0.000 2.407 Lu
0.000 2.407 0.000 Lu
2.407 0.000 0.000 Lu
2.407 2.407 2.407 Pa
```

## Properties
The space-group type is No. 221. Its energy of formation from the pure elements is 177 meV per atom. The energy relative to the lowest polymorph listed for this composition is 25 meV per atom. Its crystal system is cubic.


Below is an optimized crystal structure of LaOs2I, with properties calculated at the PBE level.

The structure in POSCAR format:
```
LaOs2I
1.0
4.847 0.000 0.000
0.000 4.847 0.000
0.000 0.000 17.908
La Os I
4 8 4
Cartesian
0.000 0.000 0.000 La
0.000 2.424 4.477 La
2.424 0.000 13.431 La
2.424 2.424 8.954 La
0.382 1.212 11.193 Os
1.212 2.806 15.670 Os
1.212 4.465 6.716 Os
2.041 1.212 2.239 Os
2.806 3.635 2.239 Os
3.635 0.382 6.716 Os
3.635 2.041 15.670 Os
4.465 3.635 11.193 Os
0.000 0.000 8.954 I
0.000 2.424 13.431 I
2.424 0.000 4.477 I
2.424 2.424 0.000 I
```

## Properties
The formation energy without anion corrections is 835 meV/atom. The space-group type is No. 122. The energy relative to the lowest polymorph listed for this composition is 0 meV per atom. Its crystal system is tetragonal.


Below is an optimized crystal structure of EuHoTlNi, with properties calculated at the PBE level.

The structure in POSCAR format:
```
EuHoTlNi
1.0
7.351 0.000 0.000
0.000 7.351 0.000
0.000 0.000 7.351
Eu Ho Tl Ni
4 4 4 4
Cartesian
0.000 0.000 0.000 Eu
0.000 3.676 3.676 Eu
3.676 0.000 3.676 Eu
3.676 3.676 0.000 Eu
0.000 0.000 3.676 Ho
0.000 3.676 0.000 Ho
3.676 0.000 0.000 Ho
3.676 3.676 3.676 Ho
1.838 1.838 5.513 Tl
1.838 5.513 1.838 Tl
5.513 1.838 1.838 Tl
5.513 5.513 5.513 Tl
1.838 1.838 1.838 Ni
1.838 5.513 5.513 Ni
5.513 1.838 5.513 Ni
5.513 5.513 1.838 Ni
```

## Properties
The space-group type is No. 216. Its energy of formation from the pure elements is -151 meV per atom. Its crystal system is cubic.


Below is an optimized crystal structure of La3Nd5Sm3, with properties calculated at the PBE level.

The structure in POSCAR format:
```
La3Nd5Sm3
1.0
9.783 0.000 0.000
-4.891 8.472 0.000
0.000 0.000 5.835
La Nd Sm
3 5 3
Cartesian
-2.660 4.607 0.000 La
2.232 3.865 0.000 La
5.320 0.000 0.000 La
-1.370 2.373 2.918 Nd
2.740 0.000 2.918 Nd
0.000 5.648 2.918 Nd
4.891 2.824 2.918 Nd
3.522 6.100 2.918 Nd
-3.094 5.358 2.918 Sm
1.798 3.114 2.918 Sm
6.187 0.000 2.918 Sm
```

## Properties
The space-group type is No. 189. Its energy of formation from the pure elements is 676 meV per atom. Its crystal system is hexagonal.


Below is an optimized crystal structure of Na2Cd3F8, with properties calculated at the PBE level.

The structure in POSCAR format:
```
Na2Cd3F8
1.0
5.791 -3.441 0.000
5.791 3.441 0.000
-2.062 0.000 5.400
Na Cd F
2 3 8
Cartesian
2.224 0.000 0.765 Na
7.296 0.000 4.635 Na
4.760 1.802 2.700 Cd
5.791 0.000 0.000 Cd
4.760 -1.802 2.700 Cd
0.375 0.000 2.139 F
4.208 1.513 0.526 F
3.359 0.000 3.108 F
5.312 1.513 4.874 F
4.208 -1.513 0.526 F
6.161 0.000 2.292 F
5.312 -1.513 4.874 F
9.145 0.000 3.261 F
```

## Properties
The formation energy without anion corrections is -2341 meV/atom. The space-group type is No. 12. Its crystal system is monoclinic.


Below is an optimized crystal structure of MnSiP2, with properties calculated at the PBE level.

The structure in POSCAR format:
```
MnSiP2
1.0
7.563 0.000 0.000
0.000 2.849 0.000
-0.306 0.000 6.196
Mn Si P
2 2 4
Cartesian
0.000 0.000 0.000 Mn
3.781 1.424 0.000 Mn
1.674 1.424 0.940 Si
5.455 0.000 0.940 Si
1.920 0.000 5.165 P
3.365 0.000 1.924 P
5.702 1.424 5.165 P
7.146 1.424 1.924 P
```

## Properties
The formation energy without anion corrections is 59 meV/atom. The space-group type is No. 8. Its crystal system is monoclinic.


Below is an optimized crystal structure of La3SmGe4, with properties calculated at the PBE level.

The structure in POSCAR format:
```
La3SmGe4
1.0
4.234 0.000 0.000
0.000 6.589 0.000
0.000 0.000 16.709
La Sm Ge
6 2 8
Cartesian
0.000 0.000 0.000 La
0.000 3.295 3.301 La
0.000 3.295 13.408 La
2.117 0.000 5.054 La
2.117 0.000 11.655 La
2.117 3.295 8.355 La
0.000 0.000 8.355 Sm
2.117 3.295 0.000 Sm
0.000 2.037 6.205 Ge
0.000 2.037 10.504 Ge
0.000 4.552 6.205 Ge
0.000 4.552 10.504 Ge
2.117 1.257 2.150 Ge
2.117 1.257 14.559 Ge
2.117 5.332 2.150 Ge
2.117 5.332 14.559 Ge
```

## Properties
The space-group type is No. 71. Its energy of formation from the pure elements is -693 meV per atom. Its crystal system is orthorhombic.


no.,D(E_F) (states/eV/f.u.),total DFT energy (no corrections) (eV/atom)
1,4.90,-5.588
2,4.80,-6.400
3,7.91,-5.901
4,14.20,-4.122
5,0.00,-3.907
6,1.87,-6.294
7,8.39,-5.440